# 1
Entry from Alexandria via LeMat-Bulk: a relaxed structure of Cs6Ho21S34Cl (GGA-PBE).

Properties
Its space-group type is C2/m. The energy relative to the elements, uncorrected comes out at -2.0402 eV per atom.

Unit cell a=13.0573 b=13.0573 c=13.0646 alpha=114.41 beta=114.41 gamma=97.33
With the nearest neighbours (Å) after each atom.
Fractional coordinates of all 62 atoms:
Cs 0.0519 0.8050 0.7696  1 Cl 3.43, 4 S 3.59-3.66
Cs 0.1950 0.9481 0.2304  1 Cl 3.43, 4 S 3.59-3.66
Cs 0.2328 0.2328 0.0857  1 Cl 3.43, 4 S 3.60-3.70
Cs 0.7672 0.7672 0.9143  1 Cl 3.43, 4 S 3.60-3.70
Cs 0.8050 0.0519 0.7696  1 Cl 3.43, 4 S 3.59-3.66
Cs 0.9481 0.1950 0.2304  1 Cl 3.43, 4 S 3.59-3.66
Ho 0.0452 0.4627 0.7485  6 S 2.64-2.83
Ho 0.0996 0.9004 0.5000  6 S 2.70-2.80
Ho 0.1715 0.5724 0.1229  6 S 2.68-2.81
Ho 0.2437 0.2437 0.7570  6 S 2.66-2.77
Ho 0.2613 0.4657 0.6069  6 S 2.62-2.92
Ho 0.3015 0.6985 0.5000  6 S 2.71-2.73
Ho 0.3998 0.6002 0.0000  6 S 2.70-2.79
Ho 0.4276 0.8285 0.8771  6 S 2.68-2.81
Ho 0.4627 0.0452 0.7485  6 S 2.64-2.83
Ho 0.4657 0.2613 0.6069  6 S 2.62-2.92
Ho 0.5000 0.5000 0.5000  6 S 2.73-2.77
Ho 0.5343 0.7387 0.3931  6 S 2.62-2.92
Ho 0.5373 0.9548 0.2515  6 S 2.64-2.83
Ho 0.5724 0.1715 0.1229  6 S 2.68-2.81
Ho 0.6002 0.3998 0.0000  6 S 2.70-2.79
Ho 0.6985 0.3015 0.5000  6 S 2.71-2.73
Ho 0.7387 0.5343 0.3931  6 S 2.62-2.92
Ho 0.7563 0.7563 0.2430  6 S 2.66-2.77
Ho 0.8285 0.4276 0.8771  6 S 2.68-2.81
Ho 0.9004 0.0996 0.5000  6 S 2.70-2.80
Ho 0.9548 0.5373 0.2515  6 S 2.64-2.83
S 0.0127 0.6071 0.9416  3 Ho 2.68-2.69
S 0.0591 0.0591 0.6784  3 Ho 2.66-2.70
S 0.0896 0.2901 0.5776  4 Ho 2.74-2.77
S 0.1186 0.5134 0.4354  3 Ho 2.62-2.73
S 0.1330 0.7262 0.3145  4 Ho 2.71-2.80
S 0.2131 0.4222 0.9365  4 Ho 2.71-2.83
S 0.2461 0.6322 0.8111  4 Ho 2.70-2.80
S 0.2738 0.8670 0.6855  4 Ho 2.71-2.80
S 0.2901 0.0896 0.5776  4 Ho 2.74-2.77
S 0.3183 0.3183 0.4427  3 Ho 2.67-2.73
S 0.3493 0.5508 0.3195  4 Ho 2.72-2.81
S 0.3678 0.7539 0.1889  4 Ho 2.70-2.80
S 0.3929 0.9873 0.0584  3 Ho 2.68-2.69
S 0.4222 0.2131 0.9365  4 Ho 2.71-2.83
S 0.4254 0.4254 0.8080  5 Ho 2.77-2.92
S 0.4492 0.6507 0.6805  4 Ho 2.72-2.81
S 0.4866 0.8814 0.5646  3 Ho 2.62-2.73
S 0.5134 0.1186 0.4354  3 Ho 2.62-2.73
S 0.5508 0.3493 0.3195  4 Ho 2.72-2.81
S 0.5746 0.5746 0.1920  5 Ho 2.77-2.92
S 0.5778 0.7869 0.0635  4 Ho 2.71-2.83
S 0.6071 0.0127 0.9416  3 Ho 2.68-2.69
S 0.6322 0.2461 0.8111  4 Ho 2.70-2.80
S 0.6507 0.4492 0.6805  4 Ho 2.72-2.81
S 0.6817 0.6817 0.5573  3 Ho 2.67-2.73
S 0.7099 0.9104 0.4224  4 Ho 2.74-2.77
S 0.7262 0.1330 0.3145  4 Ho 2.71-2.80
S 0.7539 0.3678 0.1889  4 Ho 2.70-2.80
S 0.7869 0.5778 0.0635  4 Ho 2.71-2.83
S 0.8670 0.2738 0.6855  4 Ho 2.71-2.80
S 0.8814 0.4866 0.5646  3 Ho 2.62-2.73
S 0.9104 0.7099 0.4224  4 Ho 2.74-2.77
S 0.9409 0.9409 0.3216  3 Ho 2.66-2.70
S 0.9873 0.3929 0.0584  3 Ho 2.68-2.69
Cl 0.0000 0.0000 0.0000  6 Cs 3.43

---

# 2
Entry from Alexandria via LeMat-Bulk: a relaxed structure of GeSbMoW (GGA-PBE).

Properties
The calculation puts the energy above the most stable polymorph in this dataset at 217.8 meV/atom. Its space-group type is Pmm2. The energy relative to the elements, uncorrected comes out at 0.3644 eV per atom.

Unit cell a=3.1244 b=4.8164 c=4.6246 alpha=90.00 beta=90.00 gamma=90.00
With the nearest neighbours (Å) after each atom.
Fractional coordinates of all 4 atoms:
Ge 0.0000 0.0000 0.0000  4 Mo 2.73-2.85, 2 W 2.76, 4 Sb 3.03
Sb 0.5000 0.5000 0.7895  4 W 2.79, 2 Mo 2.79, 4 Ge 3.03
Mo 0.5000 0.0000 0.4846  4 Ge 2.73-2.85, 2 Sb 2.79, 4 W 3.01
W 0.0000 0.5000 0.2906  2 Ge 2.76, 4 Sb 2.79, 4 Mo 3.01

---

# 3
Entry from Alexandria via LeMat-Bulk: a relaxed structure of Ag2GeSb (GGA-PBE).

Properties
The calculation puts the energy above the most stable polymorph in this dataset at 149.4 meV/atom. Its space-group type is I-42d. The energy relative to the elements, uncorrected comes out at 0.3120 eV per atom.

Unit cell a=7.7524 b=7.7524 c=5.8290 alpha=90.00 beta=90.00 gamma=90.00
With the nearest neighbours (Å) after each atom.
Fractional coordinates of all 16 atoms:
Ag 0.2341 0.2500 0.1250  2 Ge 2.75, 2 Sb 2.92, 2 Ag 2.92
Ag 0.2500 0.7341 0.3750  2 Ge 2.75, 2 Sb 2.92, 2 Ag 2.92
Ag 0.2500 0.7659 0.8750  2 Ge 2.75, 2 Sb 2.92, 2 Ag 2.92
Ag 0.2659 0.2500 0.6250  2 Ge 2.75, 2 Sb 2.92, 2 Ag 2.92
Ag 0.7341 0.7500 0.6250  2 Ge 2.75, 2 Sb 2.92, 2 Ag 2.92
Ag 0.7500 0.2341 0.8750  2 Ge 2.75, 2 Sb 2.92, 2 Ag 2.92
Ag 0.7500 0.2659 0.3750  2 Ge 2.75, 2 Sb 2.92, 2 Ag 2.92
Ag 0.7659 0.7500 0.1250  2 Ge 2.75, 2 Sb 2.92, 2 Ag 2.92
Ge 0.0000 0.0000 0.0000  4 Ag 2.75, 2 Sb 2.91
Ge 0.0000 0.5000 0.2500  4 Ag 2.75, 2 Sb 2.91
Ge 0.5000 0.0000 0.7500  4 Ag 2.75, 2 Sb 2.91
Ge 0.5000 0.5000 0.5000  4 Ag 2.75, 2 Sb 2.91
Sb 0.0000 0.0000 0.5000  2 Ge 2.91, 4 Ag 2.92
Sb 0.0000 0.5000 0.7500  2 Ge 2.91, 4 Ag 2.92
Sb 0.5000 0.0000 0.2500  2 Ge 2.91, 4 Ag 2.92
Sb 0.5000 0.5000 0.0000  2 Ge 2.91, 4 Ag 2.92

---

# 4
Entry from Alexandria via LeMat-Bulk: a relaxed structure of Ba5NaSr2Hg2 (GGA-PBE).

Properties
The calculation puts the energy relative to the elements at -0.2090 eV per atom. Its space-group type is P4/mbm.

Unit cell a=14.7353 b=14.7353 c=4.6516 alpha=90.00 beta=90.00 gamma=90.00
With the nearest neighbours (Å) after each atom.
Fractional coordinates of all 20 atoms:
Ba 0.0000 0.5000 0.0000  4 Hg 3.57
Ba 0.0596 0.2131 0.0000  2 Hg 3.44
Ba 0.2131 0.9404 0.0000  2 Hg 3.44
Ba 0.2869 0.4404 0.0000  2 Hg 3.44
Ba 0.4404 0.7131 0.0000  2 Hg 3.44
Ba 0.5000 0.0000 0.0000  4 Hg 3.57
Ba 0.5596 0.2869 0.0000  2 Hg 3.44
Ba 0.7131 0.5596 0.0000  2 Hg 3.44
Ba 0.7869 0.0596 0.0000  2 Hg 3.44
Ba 0.9404 0.7869 0.0000  2 Hg 3.44
Na 0.0000 0.0000 0.5000  8 Ba 4.01
Na 0.5000 0.5000 0.5000  8 Ba 4.01
Sr 0.1849 0.6849 0.5000  1 Hg 3.85
Sr 0.3151 0.1849 0.5000  1 Hg 3.85
Sr 0.6849 0.8151 0.5000  1 Hg 3.85
Sr 0.8151 0.3151 0.5000  1 Hg 3.85
Hg 0.1301 0.3699 0.5000  6 Ba 3.44-3.57
Hg 0.3699 0.8699 0.5000  6 Ba 3.44-3.57
Hg 0.6301 0.1301 0.5000  6 Ba 3.44-3.57
Hg 0.8699 0.6301 0.5000  6 Ba 3.44-3.57

---

# 5
Entry from Alexandria via LeMat-Bulk: a relaxed structure of Th2CuN2O2 (GGA-PBE).

Properties
Its space-group type is I4/mmm. The energy relative to the elements, uncorrected comes out at -1.8399 eV per atom.

Unit cell a=4.0260 b=4.0260 c=12.3909 alpha=90.00 beta=90.00 gamma=90.00
With the nearest neighbours (Å) after each atom.
Fractional coordinates of all 14 atoms:
Th 0.0000 0.0000 0.1509  4 N 2.36
Th 0.0000 0.0000 0.8491  4 N 2.36
Th 0.5000 0.5000 0.3491  4 N 2.36
Th 0.5000 0.5000 0.6509  4 N 2.36
Cu 0.0000 0.0000 0.5000  4 O 2.01
Cu 0.5000 0.5000 0.0000  4 O 2.01
N 0.0000 0.5000 0.2500  4 Th 2.36
N 0.0000 0.5000 0.7500  4 Th 2.36
N 0.5000 0.0000 0.2500  4 Th 2.36
N 0.5000 0.0000 0.7500  4 Th 2.36
O 0.0000 0.5000 0.0000  2 Cu 2.01
O 0.0000 0.5000 0.5000  2 Cu 2.01
O 0.5000 0.0000 0.0000  2 Cu 2.01
O 0.5000 0.0000 0.5000  2 Cu 2.01

---

# 6
Entry from Alexandria via LeMat-Bulk: a relaxed structure of Sm4ZnCu3 (GGA-PBE).

Properties
The calculation puts the energy relative to the elements at -0.2111 eV per atom. Its space-group type is Pmmm.

Unit cell a=3.5706 b=5.0556 c=10.0990 alpha=90.00 beta=90.00 gamma=90.00
With the nearest neighbours (Å) after each atom.
Fractional coordinates of all 8 atoms:
Sm 0.0000 0.0000 0.0000  8 Cu 3.09-3.12
Sm 0.0000 0.0000 0.5000  4 Cu 3.06, 4 Zn 3.09
Sm 0.0000 0.5000 0.2447  6 Cu 3.05-3.10, 2 Zn 3.14
Sm 0.0000 0.5000 0.7553  6 Cu 3.05-3.10, 2 Zn 3.14
Zn 0.5000 0.5000 0.5000  8 Sm 3.09-3.14
Cu 0.5000 0.0000 0.2533  8 Sm 3.06-3.12
Cu 0.5000 0.0000 0.7467  8 Sm 3.06-3.12
Cu 0.5000 0.5000 0.0000  8 Sm 3.05-3.09

---

# 7
Entry from Alexandria via LeMat-Bulk: a relaxed structure of Dy6Tm5Sc (GGA-PBE).

Properties
The calculation puts the energy relative to the elements at 0.0299 eV per atom. Its space-group type is Immm.

Unit cell a=9.2565 b=9.2565 c=9.2565 alpha=149.04 beta=115.63 gamma=73.14
With the nearest neighbours (Å) after each atom.
Fractional coordinates of all 12 atoms:
Dy 0.0823 0.3341 0.7482  1 Sc 3.48, 7 Tm 3.48-3.53, 4 Dy 3.49-3.52
Dy 0.2466 0.0000 0.2466  6 Tm 3.46-3.51, 2 Sc 3.47, 4 Dy 3.49
Dy 0.4141 0.6659 0.7482  1 Sc 3.48, 7 Tm 3.48-3.53, 4 Dy 3.49-3.52
Dy 0.5859 0.3341 0.2518  1 Sc 3.48, 7 Tm 3.48-3.53, 4 Dy 3.49-3.52
Dy 0.7534 0.0000 0.7534  6 Tm 3.46-3.51, 2 Sc 3.47, 4 Dy 3.49
Dy 0.9177 0.6659 0.2518  1 Sc 3.48, 7 Tm 3.48-3.53, 4 Dy 3.49-3.52
Tm 0.1654 0.1654 0.0000  8 Dy 3.46-3.53, 2 Sc 3.49, 2 Tm 3.52
Tm 0.3340 0.8340 0.5000  4 Tm 3.49-3.52, 8 Dy 3.50-3.51
Tm 0.5000 0.5000 0.0000  4 Tm 3.49, 8 Dy 3.50-3.51
Tm 0.6660 0.1660 0.5000  4 Tm 3.49-3.52, 8 Dy 3.50-3.51
Tm 0.8346 0.8346 0.0000  8 Dy 3.46-3.53, 2 Sc 3.49, 2 Tm 3.52
Sc 0.0000 0.5000 0.5000  8 Dy 3.47-3.48, 4 Tm 3.49

---

# 8
Entry from Alexandria via LeMat-Bulk: a relaxed structure of TbAlBr (GGA-PBE).

Properties
Its space-group type is C2/m. The energy relative to the elements, uncorrected comes out at -0.9208 eV per atom.

Unit cell a=6.8143 b=3.9306 c=13.3378 alpha=90.00 beta=98.28 gamma=90.00
With the nearest neighbours (Å) after each atom.
Fractional coordinates of all 12 atoms:
Tb 0.1081 0.0000 0.2918  3 Br 2.93, 3 Al 3.06
Tb 0.3919 0.5000 0.7082  3 Br 2.93, 3 Al 3.06
Tb 0.6081 0.5000 0.2918  3 Br 2.93, 3 Al 3.06
Tb 0.8919 0.0000 0.7082  3 Br 2.93, 3 Al 3.06
Al 0.1813 0.0000 0.5526  3 Al 2.66
Al 0.3187 0.5000 0.4474  3 Al 2.66
Al 0.6813 0.5000 0.5526  3 Al 2.66
Al 0.8187 0.0000 0.4474  3 Al 2.66
Br 0.0981 0.5000 0.8484  3 Tb 2.93
Br 0.4019 0.0000 0.1516  3 Tb 2.93
Br 0.5981 0.0000 0.8484  3 Tb 2.93
Br 0.9019 0.5000 0.1516  3 Tb 2.93

---

| no. | final energy (eV per cell) | N(E_F) (states/eV per cell) |
| --- | --- | --- |
| 1 | -369.92 | 0.000 |
| 2 | -31.07 | 3.063 |
| 3 | -52.78 | 8.424 |
| 4 | -33.98 | 24.807 |
| 5 | -116.76 | 6.746 |
| 6 | -34.13 | 6.395 |
| 7 | -55.94 | 16.666 |
| 8 | -51.23 | 5.977 |